## Ca2TaAs (PBEsol)

Data for a geometry-optimized Ca2TaAs structure.

abc: 4.289 6.166 6.166
angles: 37.70 90.00 90.00
Element x y z (fractional)
Ca1 0.000 0.000 0.000
Ca2 0.500 0.306 0.306
Ta1 0.000 0.710 0.710
As1 0.500 0.593 0.593

Properties
Its symmetry is Amm2, No. 38. The value obtained for the spin magnetization is 0.002 μB/f.u. The value obtained for the formation enthalpy at 0 K is -0.0092 eV/atom.